(1)
Entry from the Alexandria database: a relaxed NdNbI2 crystal (PBE-GGA).

DOS at the Fermi energy	2.5	states/eV per cell
total magnetization	0.000	μB/atom
E_form (uncorrected)	-5	meV per atom
crystal system	trigonal
space group	R-3m (166)
volume	29.300	A^3/atom

Cell and atoms, written as extended XYZ:
```
4
Lattice="1.807 1.043 10.364 -1.807 1.043 10.364 0.000 -2.086 10.364" Properties=species:S:1:pos:R:3 pbc="T T T"
Nd 0.000 0.000 0.000
Nb 0.000 0.000 15.546
I 0.000 0.000 3.206
I 0.000 0.000 27.886
```

***

(2)
Entry from the Alexandria database: a relaxed LaCuBi crystal (PBE-GGA).

DOS at the Fermi energy	3.8	states/eV per cell
total magnetization	0.000	μB/atom
energy of formation from the pure elements	-535.9	meV per atom
crystal system	monoclinic
space group	P2_1/m (11)
volume	26.552	A^3/atom

Cell and atoms, written as extended XYZ:
```
6
Lattice="4.804 0.000 0.000 0.000 4.804 0.000 -0.010 0.000 6.903" Properties=species:S:1:pos:R:3 pbc="T T T"
La 1.197 1.201 1.556
La 3.597 3.603 5.347
Cu 1.193 3.603 3.452
Cu 3.600 1.201 3.451
Bi 1.196 1.201 5.111
Bi 3.597 3.603 1.792
```

***

(3)
Entry from the Alexandria database: a relaxed ZrVCr crystal (PBE-GGA).

DOS at the Fermi energy	8.0	states/eV per cell
total magnetization	0.000	μB/atom
energy of formation from the pure elements	310.1	meV per atom
crystal system	orthorhombic
space group	Fmmm (69)
volume	16.607	A^3/atom

Cell and atoms, written as extended XYZ:
```
6
Lattice="0.000 3.958 4.625 2.722 0.000 4.625 2.722 3.958 0.000" Properties=species:S:1:pos:R:3 pbc="T T T"
Zr 2.722 1.432 4.625
Zr 2.722 6.484 4.625
V 2.722 3.958 3.020
V 2.722 3.958 6.229
Cr 1.361 1.979 2.312
Cr 4.083 5.937 6.937
```

***

(4)
Entry from the Alexandria database: a relaxed Lu2AlHg crystal (PBE-GGA).

DOS at the Fermi energy	2.5	states/eV per cell
total magnetization	0.000	μB/atom
energy of formation from the pure elements	-273.5	meV per atom
crystal system	trigonal
space group	R-3m (166)
volume	24.912	A^3/atom

Cell and atoms, written as extended XYZ:
```
4
Lattice="1.770 1.022 9.185 -1.770 1.022 9.185 0.000 -2.043 9.185" Properties=species:S:1:pos:R:3 pbc="T T T"
Lu 0.000 0.000 6.816
Lu 0.000 0.000 20.740
Al 0.000 0.000 13.778
Hg 0.000 0.000 0.000
```

***

(5)
Entry from the Alexandria database: a relaxed Ac3Zn2Pb crystal (PBE-GGA).

DOS at the Fermi energy	14.8	states/eV per cell
total magnetization	0.000	μB/atom
energy of formation from the pure elements	-272.7	meV per atom
crystal system	orthorhombic
space group	Pmc2_1 (26)
volume	32.961	A^3/atom

Cell and atoms, written as extended XYZ:
```
12
Lattice="4.584 0.000 0.000 0.000 9.763 0.000 0.000 0.000 8.839" Properties=species:S:1:pos:R:3 pbc="T T T"
Ac 0.000 0.884 0.000
Ac 0.000 8.879 4.419
Ac 2.292 2.448 3.242
Ac 2.292 3.647 7.302
Ac 2.292 6.115 2.883
Ac 2.292 7.314 7.661
Zn 0.000 2.035 5.625
Zn 0.000 7.727 1.206
Zn 2.292 0.632 6.242
Zn 2.292 9.130 1.823
Pb 0.000 4.356 0.979
Pb 0.000 5.407 5.399
```

***

(6)
Entry from the Alexandria database: a relaxed LaNdIn3 crystal (PBE-GGA).

DOS at the Fermi energy	9.4	states/eV per cell
total magnetization	0.000	μB/atom
energy of formation from the pure elements	65.3	meV per atom
crystal system	tetragonal
space group	I-4m2 (119)
volume	41.382	A^3/atom

Cell and atoms, written as extended XYZ:
```
10
Lattice="-2.985 2.985 11.612 2.985 -2.985 11.612 2.985 2.985 -11.612" Properties=species:S:1:pos:R:3 pbc="T T T"
La 0.000 0.000 0.000
La 0.000 2.985 5.806
Nd 0.000 0.000 9.745
Nd 0.000 0.000 13.479
In 0.000 1.479 2.957
In 0.000 2.985 0.079
In -1.506 2.985 8.655
In 1.506 2.985 8.655
In 0.000 4.490 2.957
In 0.000 2.985 11.533
```

***

(7)
Entry from the Alexandria database: a relaxed ErHg2I8 crystal (PBE-GGA).

DOS at the Fermi energy	2.1	states/eV per cell
total magnetization	0.082	μB/atom
E_form (uncorrected)	-590	meV per atom
crystal system	monoclinic
space group	C2/m (12)
volume	51.177	A^3/atom

Cell and atoms, written as extended XYZ:
```
11
Lattice="6.186 -6.333 0.000 6.186 6.333 0.000 -1.394 0.000 7.185" Properties=species:S:1:pos:R:3 pbc="T T T"
Er 0.000 0.000 0.000
Hg 1.711 0.000 4.799
Hg 9.266 0.000 2.386
I 4.713 4.152 1.502
I 2.309 0.000 1.987
I 6.264 4.152 5.683
I 4.432 0.000 5.612
I 6.545 0.000 1.573
I 4.713 -4.152 1.502
I 8.668 0.000 5.198
I 6.264 -4.152 5.683
```

***

(8)
Entry from the Alexandria database: a relaxed AgGe2Au2 crystal (PBE-GGA).

DOS at the Fermi energy	2.9	states/eV per cell
total magnetization	0.000	μB/atom
energy of formation from the pure elements	103.6	meV per atom
crystal system	tetragonal
space group	P4/mbm (127)
volume	19.464	A^3/atom

Cell and atoms, written as extended XYZ:
```
10
Lattice="7.480 0.000 0.000 0.000 7.480 0.000 0.000 0.000 3.479" Properties=species:S:1:pos:R:3 pbc="T T T"
Ag 0.000 0.000 0.000
Ag 3.740 3.740 0.000
Ge 1.205 2.535 1.740
Ge 2.535 6.275 1.740
Ge 4.944 1.205 1.740
Ge 6.275 4.944 1.740
Au 1.061 4.801 0.000
Au 2.679 1.061 0.000
Au 4.801 6.418 0.000
Au 6.418 2.679 0.000
```